1.
Below is a geometry-optimized NdErBi2 structure, with properties calculated at the PBE level.

Values from the calculation:
ΔE_f   -0.764 eV per atom
Calculated total energy   -5.037 eV/atom
Space group   No. 160
DOS(E_F)   0.479 states/eV per cell

a b c (Å): 4.4990 4.4990 8.1170
angles (deg): 73.91 73.91 60.00
Element x y z (fractional)
Bi: 0.0851 0.0851 0.7447
Bi: 0.2481 0.2481 0.2556
Nd: 0.6687 0.6687 0.9938
Er: 0.4980 0.4980 0.5059

2.
Below is a geometry-optimized ThZnAg4 structure, with properties calculated at the PBE level.

Values from the calculation:
ΔE_f   -0.043 eV per atom
Calculated total energy   -3.392 eV/atom
Space group   No. 216
DOS(E_F)   2.156 states/eV per cell

a b c (Å): 5.5753 5.5753 5.5753
angles (deg): 60.00 60.00 60.00
Element x y z (fractional)
Ag: 0.6257 0.6257 0.6257
Ag: 0.6257 0.6257 0.1229
Ag: 0.6257 0.1229 0.6257
Ag: 0.1229 0.6257 0.6257
Th: 0.2500 0.2500 0.2500
Zn: 0.0000 0.0000 0.0000

3.
Below is a geometry-optimized CuB2Rh structure, with properties calculated at the PBE level.

Values from the calculation:
ΔE_f   0.472 eV per atom
Calculated total energy   -5.729 eV/atom
Space group   No. 225
DOS(E_F)   2.031 states/eV per cell

a b c (Å): 3.7797 3.7797 3.7797
angles (deg): 60.00 60.00 60.00
Element x y z (fractional)
Rh: 0.5000 0.5000 0.5000
B: 0.7500 0.7500 0.7500
B: 0.2500 0.2500 0.2500
Cu: 0.0000 0.0000 0.0000

Question: Which of these has the lowest ΔE_f?
Answer: NdErBi2

Question: The highest ΔE_f belongs to which entry?
Answer: CuB2Rh

Question: Which of these has the lowest ΔE_f?
Answer: NdErBi2

Question: The lowest calculated total energy belongs to which entry?
Answer: CuB2Rh